(1)
The following is a PBE-GGA calculation of crystalline TbDyTlAg2 at its relaxed geometry, from OQMD.

Computed properties:
- Calculated density: 10.273 Mg/m³
- Energy: -37.57 eV for the cell shown
- Space group: No. 38

abc: 3.522 4.591 14.822
angles: 90.00 90.00 90.00
Atoms (fractional coordinates):
Tb1 0.000 0.000 0.000
Tb2 0.000 0.500 0.500
Dy1 0.000 0.000 0.756
Dy2 0.000 0.500 0.256
Tl1 0.500 0.000 0.378
Tl2 0.500 0.500 0.878
Ag1 0.500 0.000 0.180
Ag2 0.500 0.000 0.577
Ag3 0.500 0.500 0.077
Ag4 0.500 0.500 0.680

(2)
The following is a PBE-GGA calculation of crystalline ReBr4Cl at its relaxed geometry, from OQMD.

Computed properties:
- Calculated density: 4.781 Mg/m³
- Space group: No. 2
- Energy above the lowest structure with this stoichiometry: 0 meV/atom

abc: 6.563 7.064 9.669
angles: 109.02 91.10 115.43
Atoms (fractional coordinates):
Re1 0.100 0.208 0.212
Re2 0.900 0.792 0.788
Br1 0.073 0.813 0.572
Br2 0.242 0.185 0.956
Br3 0.304 0.001 0.243
Br4 0.432 0.570 0.335
Br5 0.568 0.430 0.665
Br6 0.696 0.999 0.757
Br7 0.758 0.815 0.044
Br8 0.927 0.187 0.428
Cl1 0.107 0.633 0.853
Cl2 0.893 0.367 0.147

(3)
The following is a PBE-GGA calculation of crystalline GeTeW at its relaxed geometry, from OQMD.

Computed properties:
- Calculated density: 9.522 Mg/m³
- Space group: No. 216
- Energy above the lowest structure with this stoichiometry: 0 meV/atom

abc: 6.447 6.447 6.447
angles: 90.00 90.00 90.00
Atoms (fractional coordinates):
Ge1 0.000 0.000 0.000
Ge2 0.000 0.500 0.500
Ge3 0.500 0.000 0.500
Ge4 0.500 0.500 0.000
Te1 0.000 0.000 0.500
Te2 0.000 0.500 0.000
Te3 0.500 0.000 0.000
Te4 0.500 0.500 0.500
W1 0.250 0.250 0.250
W2 0.250 0.750 0.750
W3 0.750 0.250 0.750
W4 0.750 0.750 0.250

(4)
The following is a PBE-GGA calculation of crystalline TaNiBPt at its relaxed geometry, from OQMD.

Computed properties:
- Calculated density: 14.789 Mg/m³
- Space group: No. 216
- Energy above the lowest structure with this stoichiometry: 0 meV/atom

abc: 5.849 5.849 5.849
angles: 90.00 90.00 90.00
Atoms (fractional coordinates):
Ta1 0.000 0.000 0.000
Ta2 0.000 0.500 0.500
Ta3 0.500 0.000 0.500
Ta4 0.500 0.500 0.000
Ni1 0.250 0.250 0.750
Ni2 0.250 0.750 0.250
Ni3 0.750 0.250 0.250
Ni4 0.750 0.750 0.750
B1 0.250 0.250 0.250
B2 0.250 0.750 0.750
B3 0.750 0.250 0.750
B4 0.750 0.750 0.250
Pt1 0.000 0.000 0.500
Pt2 0.000 0.500 0.000
Pt3 0.500 0.000 0.000
Pt4 0.500 0.500 0.500

(5)
The following is a PBE-GGA calculation of crystalline YZn5 at its relaxed geometry, from OQMD.

Computed properties:
- Calculated density: 6.865 Mg/m³
- Space group: No. 189
- ΔH_f (0 K): -1.8 eV/f.u.

abc: 5.277 5.277 4.171
angles: 90.00 90.00 120.00
Atoms (fractional coordinates):
Y1 0.000 0.000 0.000
Zn1 0.000 0.496 0.500
Zn2 0.333 0.667 0.000
Zn3 0.496 0.000 0.500
Zn4 0.504 0.504 0.500
Zn5 0.667 0.333 0.000

(6)
The following is a PBE-GGA calculation of crystalline Ho3Co11B4 at its relaxed geometry, from OQMD.

Computed properties:
- Calculated density: 9.282 Mg/m³
- Energy: -125.44 eV for the cell shown
- Space group: No. 191

abc: 5.011 5.011 9.755
angles: 90.00 90.00 120.00
Atoms (fractional coordinates):
Ho1 0.000 0.000 0.000
Ho2 0.000 0.000 0.342
Ho3 0.000 0.000 0.658
Co1 0.000 0.500 0.202
Co2 0.000 0.500 0.500
Co3 0.000 0.500 0.798
Co4 0.333 0.667 0.000
Co5 0.500 0.000 0.202
Co6 0.500 0.000 0.500
Co7 0.500 0.000 0.798
Co8 0.500 0.500 0.202
Co9 0.500 0.500 0.500
Co10 0.500 0.500 0.798
Co11 0.667 0.333 0.000
B1 0.333 0.667 0.350
B2 0.333 0.667 0.650
B3 0.667 0.333 0.350
B4 0.667 0.333 0.650

(7)
The following is a PBE-GGA calculation of crystalline YZnAgPd at its relaxed geometry, from OQMD.

Computed properties:
- Calculated density: 8.011 Mg/m³
- Space group: No. 216
- ΔH_f (0 K): -1.6 eV/f.u.
- Energy above the lowest structure with this stoichiometry: 81 meV/atom

abc: 6.736 6.736 6.736
angles: 90.00 90.00 90.00
Atoms (fractional coordinates):
Y1 0.000 0.000 0.000
Y2 0.000 0.500 0.500
Y3 0.500 0.000 0.500
Y4 0.500 0.500 0.000
Zn1 0.250 0.250 0.750
Zn2 0.250 0.750 0.250
Zn3 0.750 0.250 0.250
Zn4 0.750 0.750 0.750
Ag1 0.250 0.250 0.250
Ag2 0.250 0.750 0.750
Ag3 0.750 0.250 0.750
Ag4 0.750 0.750 0.250
Pd1 0.000 0.000 0.500
Pd2 0.000 0.500 0.000
Pd3 0.500 0.000 0.000
Pd4 0.500 0.500 0.500

(8)
The following is a PBE-GGA calculation of crystalline HfBeFeSi at its relaxed geometry, from OQMD.

Computed properties:
- Calculated density: 9.002 Mg/m³
- Space group: No. 216
- Energy above the lowest structure with this stoichiometry: 0 meV/atom

abc: 5.851 5.851 5.851
angles: 90.00 90.00 90.00
Atoms (fractional coordinates):
Hf1 0.000 0.000 0.000
Hf2 0.000 0.500 0.500
Hf3 0.500 0.000 0.500
Hf4 0.500 0.500 0.000
Be1 0.250 0.250 0.250
Be2 0.250 0.750 0.750
Be3 0.750 0.250 0.750
Be4 0.750 0.750 0.250
Fe1 0.250 0.250 0.750
Fe2 0.250 0.750 0.250
Fe3 0.750 0.250 0.250
Fe4 0.750 0.750 0.750
Si1 0.000 0.000 0.500
Si2 0.000 0.500 0.000
Si3 0.500 0.000 0.000
Si4 0.500 0.500 0.500

(9)
The following is a PBE-GGA calculation of crystalline Li4Ho3Sn4 at its relaxed geometry, from OQMD.

Computed properties:
- Calculated density: 6.884 Mg/m³
- Energy: -43.96 eV for the cell shown
- Space group: No. 71

abc: 8.572 8.572 8.572
angles: 149.16 131.33 58.73
Atoms (fractional coordinates):
Li1 0.016 0.826 0.190
Li2 0.363 0.174 0.190
Li3 0.637 0.826 0.810
Li4 0.984 0.174 0.810
Ho1 0.000 0.500 0.500
Ho2 0.373 0.373 0.000
Ho3 0.627 0.627 0.000
Sn1 0.215 0.715 0.500
Sn2 0.297 0.000 0.297
Sn3 0.703 0.000 0.703
Sn4 0.785 0.285 0.500

(10)
The following is a PBE-GGA calculation of crystalline TaIrAu at its relaxed geometry, from OQMD.

Computed properties:
- Calculated density: 16.110 Mg/m³
- Space group: No. 216
- ΔH_f (0 K): 0.4 eV/f.u.
- Energy above the lowest structure with this stoichiometry: 9 meV/atom

abc: 6.172 6.172 6.172
angles: 90.00 90.00 90.00
Atoms (fractional coordinates):
Ta1 0.000 0.000 0.000
Ta2 0.000 0.500 0.500
Ta3 0.500 0.000 0.500
Ta4 0.500 0.500 0.000
Ir1 0.250 0.250 0.250
Ir2 0.250 0.750 0.750
Ir3 0.750 0.250 0.750
Ir4 0.750 0.750 0.250
Au1 0.250 0.250 0.750
Au2 0.250 0.750 0.250
Au3 0.750 0.250 0.250
Au4 0.750 0.750 0.750

(11)
The following is a PBE-GGA calculation of crystalline TaTcB at its relaxed geometry, from OQMD.

Computed properties:
- Calculated density: 9.915 Mg/m³
- Space group: No. 216
- Energy above the lowest structure with this stoichiometry: 199 meV/atom

abc: 5.790 5.790 5.790
angles: 90.00 90.00 90.00
Atoms (fractional coordinates):
Ta1 0.000 0.000 0.000
Ta2 0.000 0.500 0.500
Ta3 0.500 0.000 0.500
Ta4 0.500 0.500 0.000
Tc1 0.250 0.250 0.250
Tc2 0.250 0.750 0.750
Tc3 0.750 0.250 0.750
Tc4 0.750 0.750 0.250
B1 0.250 0.250 0.750
B2 0.250 0.750 0.250
B3 0.750 0.250 0.250
B4 0.750 0.750 0.750

(12)
The following is a PBE-GGA calculation of crystalline CsSmPO at its relaxed geometry, from OQMD.

Computed properties:
- Calculated density: 4.353 Mg/m³
- Space group: No. 26
- Energy above the lowest structure with this stoichiometry: 0 meV/atom

abc: 3.599 8.205 8.532
angles: 90.00 90.00 90.00
Atoms (fractional coordinates):
Cs1 0.000 0.123 0.000
Cs2 0.000 0.877 0.500
Sm1 0.500 0.339 0.405
Sm2 0.500 0.661 0.905
P1 0.500 0.368 0.732
P2 0.500 0.632 0.232
O1 0.000 0.204 0.344
O2 0.000 0.796 0.844

(13)
The following is a PBE-GGA calculation of crystalline HfAlNi at its relaxed geometry, from OQMD.

Computed properties:
- Calculated density: 7.558 Mg/m³
- Energy: -72.53 eV for the cell shown
- Space group: No. 216

abc: 6.146 6.146 6.146
angles: 90.00 90.00 90.00
Atoms (fractional coordinates):
Hf1 0.000 0.000 0.000
Hf2 0.000 0.500 0.500
Hf3 0.500 0.000 0.500
Hf4 0.500 0.500 0.000
Al1 0.250 0.250 0.750
Al2 0.250 0.750 0.250
Al3 0.750 0.250 0.250
Al4 0.750 0.750 0.750
Ni1 0.250 0.250 0.250
Ni2 0.250 0.750 0.750
Ni3 0.750 0.250 0.750
Ni4 0.750 0.750 0.250

(14)
The following is a PBE-GGA calculation of crystalline SrHfAs2 at its relaxed geometry, from OQMD.

Computed properties:
- Calculated density: 7.760 Mg/m³
- Energy: -80.79 eV for the cell shown
- Space group: No. 216

abc: 7.088 7.088 7.088
angles: 90.00 90.00 90.00
Atoms (fractional coordinates):
Sr1 0.000 0.000 0.000
Sr2 0.000 0.500 0.500
Sr3 0.500 0.000 0.500
Sr4 0.500 0.500 0.000
Hf1 0.250 0.250 0.250
Hf2 0.250 0.750 0.750
Hf3 0.750 0.250 0.750
Hf4 0.750 0.750 0.250
As1 0.000 0.000 0.500
As2 0.000 0.500 0.000
As3 0.250 0.250 0.750
As4 0.250 0.750 0.250
As5 0.500 0.000 0.000
As6 0.500 0.500 0.500
As7 0.750 0.250 0.250
As8 0.750 0.750 0.750

(15)
The following is a PBE-GGA calculation of crystalline SmHf at its relaxed geometry, from OQMD.

Computed properties:
- Calculated density: 7.673 Mg/m³
- Space group: No. 216
- ΔH_f (0 K): 4.5 eV/f.u.
- Energy above the lowest structure with this stoichiometry: 2016 meV/atom

abc: 6.578 6.578 6.578
angles: 90.00 90.00 90.00
Atoms (fractional coordinates):
Sm1 0.000 0.000 0.000
Sm2 0.000 0.500 0.500
Sm3 0.500 0.000 0.500
Sm4 0.500 0.500 0.000
Hf1 0.250 0.250 0.250
Hf2 0.250 0.750 0.750
Hf3 0.750 0.250 0.750
Hf4 0.750 0.750 0.250

(16)
The following is a PBE-GGA calculation of crystalline Lu2HfBi at its relaxed geometry, from OQMD.

Computed properties:
- Calculated density: 11.944 Mg/m³
- Energy: -90.72 eV for the cell shown
- Space group: No. 216

abc: 7.429 7.429 7.429
angles: 90.00 90.00 90.00
Atoms (fractional coordinates):
Lu1 0.000 0.000 0.000
Lu2 0.000 0.500 0.500
Lu3 0.250 0.250 0.250
Lu4 0.250 0.750 0.750
Lu5 0.500 0.000 0.500
Lu6 0.500 0.500 0.000
Lu7 0.750 0.250 0.750
Lu8 0.750 0.750 0.250
Hf1 0.250 0.250 0.750
Hf2 0.250 0.750 0.250
Hf3 0.750 0.250 0.250
Hf4 0.750 0.750 0.750
Bi1 0.000 0.000 0.500
Bi2 0.000 0.500 0.000
Bi3 0.500 0.000 0.000
Bi4 0.500 0.500 0.500

(17)
The following is a PBE-GGA calculation of crystalline Nb3Fe at its relaxed geometry, from OQMD.

Computed properties:
- Calculated density: 8.229 Mg/m³
- Space group: No. 221
- ΔH_f (0 K): 1.1 eV/f.u.

abc: 4.072 4.072 4.072
angles: 90.00 90.00 90.00
Atoms (fractional coordinates):
Nb1 0.000 0.000 0.500
Nb2 0.000 0.500 0.000
Nb3 0.500 0.000 0.000
Fe1 0.500 0.500 0.500

(18)
The following is a PBE-GGA calculation of crystalline SnBiOs at its relaxed geometry, from OQMD.

Computed properties:
- Calculated density: 12.167 Mg/m³
- Space group: No. 216
- Energy above the lowest structure with this stoichiometry: 0 meV/atom

abc: 6.563 6.563 6.563
angles: 90.00 90.00 90.00
Atoms (fractional coordinates):
Sn1 0.000 0.000 0.000
Sn2 0.000 0.500 0.500
Sn3 0.500 0.000 0.500
Sn4 0.500 0.500 0.000
Bi1 0.000 0.000 0.500
Bi2 0.000 0.500 0.000
Bi3 0.500 0.000 0.000
Bi4 0.500 0.500 0.500
Os1 0.250 0.250 0.750
Os2 0.250 0.750 0.250
Os3 0.750 0.250 0.250
Os4 0.750 0.750 0.750

(19)
The following is a PBE-GGA calculation of crystalline NaHoO3 at its relaxed geometry, from OQMD.

Computed properties:
- Calculated density: 6.057 Mg/m³
- Energy: -123.87 eV for the cell shown
- Space group: No. 62

abc: 6.133 7.003 6.024
angles: 90.00 90.00 90.00
Atoms (fractional coordinates):
Na1 0.050 0.250 0.011
Na2 0.450 0.750 0.511
Na3 0.550 0.250 0.489
Na4 0.950 0.750 0.989
Ho1 0.000 0.000 0.500
Ho2 0.000 0.500 0.500
Ho3 0.500 0.000 0.000
Ho4 0.500 0.500 0.000
O1 0.113 0.750 0.671
O2 0.227 0.641 0.215
O3 0.227 0.859 0.215
O4 0.273 0.141 0.715
O5 0.273 0.359 0.715
O6 0.387 0.250 0.171
O7 0.613 0.750 0.829
O8 0.727 0.641 0.285
O9 0.727 0.859 0.285
O10 0.773 0.141 0.785
O11 0.773 0.359 0.785
O12 0.887 0.250 0.329

(20)
The following is a PBE-GGA calculation of crystalline CsAgGeTe3 at its relaxed geometry, from OQMD.

Computed properties:
- Calculated density: 5.444 Mg/m³
- Space group: No. 11
- Energy above the lowest structure with this stoichiometry: 0 meV/atom

abc: 9.880 4.336 10.820
angles: 90.00 113.60 90.00
Atoms (fractional coordinates):
Cs1 0.229 0.250 0.273
Cs2 0.771 0.750 0.727
Ag1 0.055 0.250 0.592
Ag2 0.945 0.750 0.408
Ge1 0.329 0.750 0.872
Ge2 0.671 0.250 0.128
Te1 0.134 0.250 0.870
Te2 0.246 0.750 0.588
Te3 0.475 0.750 0.146
Te4 0.525 0.250 0.854
Te5 0.754 0.250 0.412
Te6 0.866 0.750 0.130

(21)
The following is a PBE-GGA calculation of crystalline LuNiSbAu at its relaxed geometry, from OQMD.

Computed properties:
- Calculated density: 11.742 Mg/m³
- Energy: -75.81 eV for the cell shown
- Space group: No. 216

abc: 6.786 6.786 6.786
angles: 90.00 90.00 90.00
Atoms (fractional coordinates):
Lu1 0.000 0.000 0.000
Lu2 0.000 0.500 0.500
Lu3 0.500 0.000 0.500
Lu4 0.500 0.500 0.000
Ni1 0.000 0.000 0.500
Ni2 0.000 0.500 0.000
Ni3 0.500 0.000 0.000
Ni4 0.500 0.500 0.500
Sb1 0.250 0.250 0.250
Sb2 0.250 0.750 0.750
Sb3 0.750 0.250 0.750
Sb4 0.750 0.750 0.250
Au1 0.250 0.250 0.750
Au2 0.250 0.750 0.250
Au3 0.750 0.250 0.250
Au4 0.750 0.750 0.750

(22)
The following is a PBE-GGA calculation of crystalline PmH2F at its relaxed geometry, from OQMD.

Computed properties:
- Calculated density: 6.864 Mg/m³
- Energy: -39.01 eV for the cell shown
- Space group: No. 139

abc: 3.564 3.564 6.323
angles: 90.00 90.00 90.00
Atoms (fractional coordinates):
Pm1 0.000 0.000 0.000
Pm2 0.500 0.500 0.500
H1 0.000 0.500 0.250
H2 0.000 0.500 0.750
H3 0.500 0.000 0.250
H4 0.500 0.000 0.750
F1 0.000 0.000 0.500
F2 0.500 0.500 0.000

(23)
The following is a PBE-GGA calculation of crystalline HfBeCoSi at its relaxed geometry, from OQMD.

Computed properties:
- Calculated density: 8.991 Mg/m³
- Space group: No. 216
- Energy above the lowest structure with this stoichiometry: 0 meV/atom

abc: 5.875 5.875 5.875
angles: 90.00 90.00 90.00
Atoms (fractional coordinates):
Hf1 0.000 0.000 0.000
Hf2 0.000 0.500 0.500
Hf3 0.500 0.000 0.500
Hf4 0.500 0.500 0.000
Be1 0.250 0.250 0.250
Be2 0.250 0.750 0.750
Be3 0.750 0.250 0.750
Be4 0.750 0.750 0.250
Co1 0.250 0.250 0.750
Co2 0.250 0.750 0.250
Co3 0.750 0.250 0.250
Co4 0.750 0.750 0.750
Si1 0.000 0.000 0.500
Si2 0.000 0.500 0.000
Si3 0.500 0.000 0.000
Si4 0.500 0.500 0.500

(24)
The following is a PBE-GGA calculation of crystalline AgSbPO at its relaxed geometry, from OQMD.

Computed properties:
- Calculated density: 5.743 Mg/m³
- Space group: No. 26
- Energy above the lowest structure with this stoichiometry: 41 meV/atom

abc: 4.082 6.377 6.144
angles: 90.00 90.00 90.00
Atoms (fractional coordinates):
Ag1 0.000 0.168 0.000
Ag2 0.000 0.832 0.500
Sb1 0.500 0.287 0.446
Sb2 0.500 0.713 0.946
P1 0.500 0.322 0.859
P2 0.500 0.678 0.359
O1 0.000 0.200 0.398
O2 0.000 0.800 0.898

(25)
The following is a PBE-GGA calculation of crystalline La2Dy2CBr3Cl2 at its relaxed geometry, from OQMD.

Computed properties:
- Calculated density: 5.681 Mg/m³
- Space group: No. 12
- Energy above the lowest structure with this stoichiometry: 7 meV/atom

abc: 9.089 9.089 8.183
angles: 104.71 104.71 24.48
Atoms (fractional coordinates):
La1 0.150 0.150 0.088
La2 0.850 0.850 0.912
Dy1 0.498 0.498 0.200
Dy2 0.502 0.502 0.800
C1 0.000 0.000 0.000
Br1 0.000 0.000 0.500
Br2 0.339 0.339 0.627
Br3 0.661 0.661 0.373
Cl1 0.337 0.337 0.174
Cl2 0.663 0.663 0.826

(26)
The following is a PBE-GGA calculation of crystalline Tl2InHgCl6 at its relaxed geometry, from OQMD.

Computed properties:
- Calculated density: 5.027 Mg/m³
- Energy: -24.81 eV for the cell shown
- Space group: No. 123

abc: 5.365 5.365 10.750
angles: 90.00 90.00 90.00
Atoms (fractional coordinates):
Tl1 0.000 0.000 0.246
Tl2 0.000 0.000 0.754
In1 0.500 0.500 0.500
Hg1 0.500 0.500 0.000
Cl1 0.000 0.000 0.000
Cl2 0.000 0.000 0.500
Cl3 0.000 0.500 0.277
Cl4 0.000 0.500 0.723
Cl5 0.500 0.000 0.277
Cl6 0.500 0.000 0.723